1.
## CeSmHg4 (PBE-GGA)

Data for crystalline CeSmHg4 at its relaxed geometry.

Results
Crystal system = orthorhombic
Formation energy from the elements = -2.3 eV/f.u.
Space group = Pmmm, No. 47
Uncorrected energy = -2.367 eV/atom

a b c (Å): 3.436 5.062 8.739
angles (deg): 90.00 90.00 90.00
Fractional coordinates of all 6 atoms:
Hg 0.499 0.497 0.333
Hg 0.499 0.997 0.166
Hg 0.499 0.497 0.664
Hg 0.499 0.997 0.830
Sm 0.999 0.997 0.498
Ce 0.999 0.497 0.998

2.
## CeSmHg4 (PBE-GGA)

Data for crystalline CeSmHg4 at its relaxed geometry.

Results
Crystal system = cubic
Formation energy from the elements = -1.3 eV/f.u.
Space group = F-43m, No. 216
Uncorrected energy = -2.194 eV/atom

a b c (Å): 6.018 6.018 6.018
angles (deg): 60.00 60.00 60.00
Fractional coordinates of all 6 atoms:
Hg 0.125 0.625 0.625
Hg 0.625 0.625 0.625
Hg 0.625 0.625 0.125
Hg 0.625 0.125 0.625
Sm 0.000 0.000 0.000
Ce 0.250 0.250 0.250

3.
## CeSm2Hg2 (PBE-GGA)

Data for crystalline CeSm2Hg2 at its relaxed geometry.

Results
Crystal system = trigonal
Formation energy from the elements = -0.8 eV/f.u.
Space group = P-3m1, No. 164
Uncorrected energy = -3.358 eV/atom

a b c (Å): 5.292 5.292 6.443
angles (deg): 90.00 90.00 120.00
Fractional coordinates of all 5 atoms:
Sm 0.333 0.667 0.660
Sm 0.667 0.333 0.340
Hg 0.333 0.667 0.170
Hg 0.667 0.333 0.830
Ce 0.000 0.000 0.000

4.
## CeSmHg (PBE-GGA)

Data for crystalline CeSmHg at its relaxed geometry.

Results
Crystal system = orthorhombic
Formation energy from the elements = -0.2 eV/f.u.
Space group = Immm, No. 71
Uncorrected energy = -3.705 eV/atom

a b c (Å): 5.835 3.342 9.616
angles (deg): 100.01 107.66 90.00
Fractional coordinates of all 6 atoms:
Ce 0.724 0.500 0.000
Ce 0.276 0.500 0.000
Sm 0.668 0.168 0.336
Sm 0.332 0.832 0.664
Hg 0.157 0.657 0.314
Hg 0.843 0.343 0.686

5.
## CeSm3Hg2 (PBE-GGA)

Data for crystalline CeSm3Hg2 at its relaxed geometry.

Results
Crystal system = tetragonal
Formation energy from the elements = -1.7 eV/f.u.
Space group = P4/mmm, No. 123
Uncorrected energy = -3.736 eV/atom

a b c (Å): 3.686 3.686 12.553
angles (deg): 90.00 90.00 90.00
Fractional coordinates of all 6 atoms:
Sm 0.000 0.000 0.684
Sm 0.000 0.000 0.000
Sm 0.000 0.000 0.316
Hg 0.500 0.500 0.160
Hg 0.500 0.500 0.840
Ce 0.500 0.500 0.500

6.
## CeSm4Hg4 (PBE-GGA)

Data for crystalline CeSm4Hg4 at its relaxed geometry.

Results
Crystal system = tetragonal
Formation energy from the elements = -1.9 eV/f.u.
Space group = P4_2/n, No. 86
Uncorrected energy = -3.103 eV/atom

a b c (Å): 5.750 9.531 9.531
angles (deg): 90.00 90.00 90.00
Fractional coordinates of all 18 atoms:
Sm 0.405 0.416 0.842
Sm 0.905 0.342 0.084
Sm 0.595 0.158 0.416
Sm 0.405 0.584 0.158
Sm 0.595 0.842 0.584
Sm 0.905 0.658 0.916
Sm 0.095 0.084 0.658
Sm 0.095 0.916 0.342
Hg 0.406 0.793 0.896
Hg 0.594 0.104 0.793
Hg 0.906 0.604 0.293
Hg 0.594 0.896 0.207
Hg 0.094 0.707 0.604
Hg 0.406 0.207 0.104
Hg 0.094 0.293 0.396
Hg 0.906 0.396 0.707
Ce 0.000 0.000 0.000
Ce 0.500 0.500 0.500

7.
## CeSmHg (PBE-GGA)

Data for crystalline CeSmHg at its relaxed geometry.

Results
Crystal system = trigonal
Formation energy from the elements = -0.3 eV/f.u.
Space group = P3m1, No. 156
Uncorrected energy = -3.754 eV/atom

a b c (Å): 3.580 5.198 5.198
angles (deg): 120.00 90.00 90.00
Fractional coordinates of all 3 atoms:
Sm 0.635 0.667 0.333
Hg 0.349 0.333 0.667
Ce 0.015 0.000 0.000

8.
## CeSm3Hg2 (PBE-GGA)

Data for crystalline CeSm3Hg2 at its relaxed geometry.

Results
Crystal system = orthorhombic
Formation energy from the elements = -0.1 eV/f.u.
Space group = Ibam, No. 72
Uncorrected energy = -3.466 eV/atom

a b c (Å): 7.640 7.544 8.894
angles (deg): 115.09 115.44 90.00
Fractional coordinates of all 12 atoms:
Hg 0.158 0.859 0.717
Hg 0.440 0.641 0.283
Hg 0.560 0.359 0.717
Hg 0.842 0.141 0.283
Sm 0.774 0.524 0.547
Sm 0.774 0.024 0.547
Sm 0.226 0.976 0.453
Sm 0.226 0.476 0.453
Sm 0.500 0.750 0.000
Sm 0.500 0.250 0.000
Ce 0.000 0.000 0.000
Ce 0.000 0.500 0.000